The following is a PBE-GGA calculation of an optimized crystal structure of Th2Ga12Co, from the Alexandria database.

Properties
DFT formation energy (eV/atom): -0.354
Magnetic moment (μB/atom): 0.00
Fermi-level density of states (states/eV/f.u.): 6.41

Geometry as CIF:
```
data_Th2Ga12Co
_space_group_name_H-M_alt 'P 1'
_space_group_IT_number 1
_space_group_name_Hall 'P 1'
_cell_length_a 6.072
_cell_length_b 6.072
_cell_length_c 15.438
_cell_angle_alpha 90.00
_cell_angle_beta 90.00
_cell_angle_gamma 90.00
loop_
_atom_site_label
_atom_site_fract_x
_atom_site_fract_y
_atom_site_fract_z
Th1 0.250 0.750 0.240
Th2 0.250 0.750 0.760
Th3 0.750 0.250 0.240
Th4 0.750 0.250 0.760
Ga1 0.001 0.501 0.083
Ga2 0.001 0.999 0.917
Ga3 0.082 0.582 0.570
Ga4 0.082 0.918 0.430
Ga5 0.250 0.250 0.184
Ga6 0.250 0.250 0.342
Ga7 0.250 0.250 0.658
Ga8 0.250 0.250 0.816
Ga9 0.418 0.582 0.430
Ga10 0.418 0.918 0.570
Ga11 0.499 0.501 0.917
Ga12 0.499 0.999 0.083
Ga13 0.501 0.001 0.917
Ga14 0.501 0.499 0.083
Ga15 0.582 0.082 0.430
Ga16 0.582 0.418 0.570
Ga17 0.750 0.750 0.184
Ga18 0.750 0.750 0.342
Ga19 0.750 0.750 0.658
Ga20 0.750 0.750 0.816
Ga21 0.918 0.082 0.570
Ga22 0.918 0.418 0.430
Ga23 0.999 0.001 0.083
Ga24 0.999 0.499 0.917
Co1 0.250 0.750 0.000
Co2 0.750 0.250 0.000
```

***

The following is a PBE-GGA calculation of an optimized crystal structure of TbPmSb2Rh5, from the Alexandria database.

Properties
Magnetic moment (μB/atom): 0.00
Fermi-level density of states (states/eV/f.u.): 5.96
Formation energy from raw total energies (eV/atom): -0.54

Geometry as CIF:
```
data_TbPmSb2Rh5
_space_group_name_H-M_alt 'P 1'
_space_group_IT_number 1
_space_group_name_Hall 'P 1'
_cell_length_a 4.456
_cell_length_b 4.456
_cell_length_c 9.004
_cell_angle_alpha 90.00
_cell_angle_beta 90.00
_cell_angle_gamma 90.00
loop_
_atom_site_label
_atom_site_fract_x
_atom_site_fract_y
_atom_site_fract_z
Tb1 0.000 0.000 0.000
Pm1 0.000 0.000 0.500
Sb1 0.500 0.500 0.157
Sb2 0.500 0.500 0.843
Rh1 0.000 0.500 0.285
Rh2 0.000 0.500 0.715
Rh3 0.500 0.000 0.285
Rh4 0.500 0.000 0.715
Rh5 0.500 0.500 0.500
```

***

The following is a PBE-GGA calculation of an optimized crystal structure of MnTeOs2, from the Alexandria database.

Properties
Magnetic moment (μB/atom): 0.66
Fermi-level density of states (states/eV/f.u.): 4.15
Formation energy from raw total energies (eV/atom): 0.66

Geometry as CIF:
```
data_MnTeOs2
_space_group_name_H-M_alt 'P 1'
_space_group_IT_number 1
_space_group_name_Hall 'P 1'
_cell_length_a 4.907
_cell_length_b 4.907
_cell_length_c 4.907
_cell_angle_alpha 132.85
_cell_angle_beta 132.85
_cell_angle_gamma 68.88
loop_
_atom_site_label
_atom_site_fract_x
_atom_site_fract_y
_atom_site_fract_z
Mn1 0.000 0.000 0.000
Te1 0.750 0.250 0.500
Os1 0.250 0.750 0.500
Os2 0.500 0.500 0.000
```

***

The following is a PBE-GGA calculation of an optimized crystal structure of SrLiSi2, from the Alexandria database.

Properties
Offset from the most stable computed form (meV/atom): 0
Magnetic moment (μB/atom): 0.00
Fermi-level density of states (states/eV/f.u.): 0.81
Formation energy from raw total energies (eV/atom): -0.41

Geometry as CIF:
```
data_SrLiSi2
_space_group_name_H-M_alt 'P 1'
_space_group_IT_number 1
_space_group_name_Hall 'P 1'
_cell_length_a 7.041
_cell_length_b 4.430
_cell_length_c 11.412
_cell_angle_alpha 90.00
_cell_angle_beta 90.00
_cell_angle_gamma 90.00
loop_
_atom_site_label
_atom_site_fract_x
_atom_site_fract_y
_atom_site_fract_z
Sr1 0.136 0.250 0.141
Sr2 0.364 0.750 0.641
Sr3 0.636 0.250 0.359
Sr4 0.864 0.750 0.859
Li1 0.123 0.250 0.439
Li2 0.377 0.750 0.939
Li3 0.623 0.250 0.061
Li4 0.877 0.750 0.561
Si1 0.032 0.250 0.665
Si2 0.198 0.250 0.848
Si3 0.302 0.750 0.348
Si4 0.468 0.750 0.165
Si5 0.532 0.250 0.835
Si6 0.698 0.250 0.652
Si7 0.802 0.750 0.152
Si8 0.968 0.750 0.335
```

***

The following is a PBE-GGA calculation of an optimized crystal structure of TaTlPb2, from the Alexandria database.

Properties
Offset from the most stable computed form (meV/atom): 18
DFT formation energy (eV/atom): 0.343
Magnetic moment (μB/atom): 0.00
Fermi-level density of states (states/eV/f.u.): 1.46

Geometry as CIF:
```
data_TaTlPb2
_space_group_name_H-M_alt 'P 1'
_space_group_IT_number 1
_space_group_name_Hall 'P 1'
_cell_length_a 3.128
_cell_length_b 3.128
_cell_length_c 11.262
_cell_angle_alpha 90.00
_cell_angle_beta 90.00
_cell_angle_gamma 90.00
loop_
_atom_site_label
_atom_site_fract_x
_atom_site_fract_y
_atom_site_fract_z
Ta1 0.000 0.000 0.000
Tl1 0.000 0.000 0.500
Pb1 0.500 0.500 0.207
Pb2 0.500 0.500 0.793
```

***

The following is a PBE-GGA calculation of an optimized crystal structure of Gd2ThPt, from the Alexandria database.

Properties
Offset from the most stable computed form (meV/atom): 0
DFT formation energy (eV/atom): -0.556
Magnetic moment (μB/atom): 3.63
Fermi-level density of states (states/eV/f.u.): 4.86

Geometry as CIF:
```
data_Gd2ThPt
_space_group_name_H-M_alt 'P 1'
_space_group_IT_number 1
_space_group_name_Hall 'P 1'
_cell_length_a 3.583
_cell_length_b 3.583
_cell_length_c 8.433
_cell_angle_alpha 90.00
_cell_angle_beta 90.00
_cell_angle_gamma 90.00
loop_
_atom_site_label
_atom_site_fract_x
_atom_site_fract_y
_atom_site_fract_z
Gd1 0.000 0.000 0.199
Gd2 0.000 0.000 0.801
Th1 0.500 0.500 0.500
Pt1 0.500 0.500 0.000
```

***

The following is a PBE-GGA calculation of an optimized crystal structure of ThAgPd, from the Alexandria database.

Properties
Offset from the most stable computed form (meV/atom): 190
DFT formation energy (eV/atom): -0.347
Magnetic moment (μB/atom): 0.00
Fermi-level density of states (states/eV/f.u.): 2.94

Geometry as CIF:
```
data_ThAgPd
_space_group_name_H-M_alt 'P 1'
_space_group_IT_number 1
_space_group_name_Hall 'P 1'
_cell_length_a 4.754
_cell_length_b 4.754
_cell_length_c 4.754
_cell_angle_alpha 60.00
_cell_angle_beta 60.00
_cell_angle_gamma 60.00
loop_
_atom_site_label
_atom_site_fract_x
_atom_site_fract_y
_atom_site_fract_z
Th1 0.000 0.000 0.000
Ag1 0.500 0.500 0.500
Pd1 0.750 0.750 0.750
```

***

The following is a PBE-GGA calculation of an optimized crystal structure of Tb2ThPd3, from the Alexandria database.

Properties
Offset from the most stable computed form (meV/atom): 46
DFT formation energy (eV/atom): -0.742
Magnetic moment (μB/atom): 0.00
Fermi-level density of states (states/eV/f.u.): 2.70

Geometry as CIF:
```
data_Tb2ThPd3
_space_group_name_H-M_alt 'P 1'
_space_group_IT_number 1
_space_group_name_Hall 'P 1'
_cell_length_a 7.171
_cell_length_b 7.171
_cell_length_c 8.247
_cell_angle_alpha 106.70
_cell_angle_beta 106.70
_cell_angle_gamma 48.10
loop_
_atom_site_label
_atom_site_fract_x
_atom_site_fract_y
_atom_site_fract_z
Tb1 0.164 0.167 0.083
Tb2 0.167 0.164 0.583
Tb3 0.833 0.836 0.417
Tb4 0.836 0.833 0.917
Th1 0.500 0.500 0.250
Th2 0.500 0.500 0.750
Pd1 0.000 0.000 0.250
Pd2 0.000 0.000 0.750
Pd3 0.332 0.335 0.417
Pd4 0.335 0.332 0.917
Pd5 0.665 0.668 0.083
Pd6 0.668 0.665 0.583
```

***

The following is a PBE-GGA calculation of an optimized crystal structure of LiZr3N, from the Alexandria database.

Properties
Offset from the most stable computed form (meV/atom): 0
Magnetic moment (μB/atom): 0.00
Fermi-level density of states (states/eV/f.u.): 3.49
Formation energy from raw total energies (eV/atom): -0.57

Geometry as CIF:
```
data_LiZr3N
_space_group_name_H-M_alt 'P 1'
_space_group_IT_number 1
_space_group_name_Hall 'P 1'
_cell_length_a 4.501
_cell_length_b 4.501
_cell_length_c 4.501
_cell_angle_alpha 90.00
_cell_angle_beta 90.00
_cell_angle_gamma 90.00
loop_
_atom_site_label
_atom_site_fract_x
_atom_site_fract_y
_atom_site_fract_z
Li1 0.000 0.000 0.000
Zr1 0.000 0.500 0.500
Zr2 0.500 0.000 0.500
Zr3 0.500 0.500 0.000
N1 0.500 0.500 0.500
```

***

The following is a PBE-GGA calculation of an optimized crystal structure of AcScBi, from the Alexandria database.

Properties
Offset from the most stable computed form (meV/atom): 210
DFT formation energy (eV/atom): -0.401
Magnetic moment (μB/atom): 0.36
Fermi-level density of states (states/eV/f.u.): 2.62

Geometry as CIF:
```
data_AcScBi
_space_group_name_H-M_alt 'P 1'
_space_group_IT_number 1
_space_group_name_Hall 'P 1'
_cell_length_a 6.665
_cell_length_b 6.665
_cell_length_c 6.665
_cell_angle_alpha 144.79
_cell_angle_beta 144.79
_cell_angle_gamma 50.65
loop_
_atom_site_label
_atom_site_fract_x
_atom_site_fract_y
_atom_site_fract_z
Ac1 0.000 0.000 0.000
Sc1 0.299 0.299 0.000
Bi1 0.697 0.697 0.000
```